(1)
Density functional theory data (PBE) for KOsNF2 after structural relaxation.

The value obtained for the energy relative to the elements, uncorrected is 1283 meV/atom. The energy above the most stable polymorph in this dataset is 2251.3 meV/atom. The energy comes out at -3.60 eV per atom. The density comes out at 4.56 Mg/m³.

CIF file:
```
data_KOsNF2
_chemical_formula_sum 'K1 Os1 N1 F2'
_cell_length_a 4.5846
_cell_length_b 4.5846
_cell_length_c 4.8750
_cell_angle_alpha 90.00
_cell_angle_beta 90.00
_cell_angle_gamma 90.00
_symmetry_space_group_name_H-M 'P 4/m m m'
_symmetry_Int_Tables_number 123
_symmetry_space_group_name_Hall '-P 4 2'
loop_
_atom_site_label
_atom_site_type_symbol
_atom_site_fract_x
_atom_site_fract_y
_atom_site_fract_z
K1 K 0.0000 0.0000 0.0000
Os1 Os 0.5000 0.5000 0.5000
N1 N 0.0000 0.0000 0.5000
F1 F 0.0000 0.5000 0.0000
```

(2)
Density functional theory data (PBE) for KOsNF2 after structural relaxation.

The value obtained for the energy relative to the elements, uncorrected is -968 meV/atom. The energy above the most stable polymorph in this dataset is 0.0 meV/atom. The energy comes out at -5.85 eV per atom. The density comes out at 6.39 Mg/m³.

CIF file:
```
data_KOsNF2
_chemical_formula_sum 'K1 Os1 N1 F2'
_cell_length_a 4.4092
_cell_length_b 4.4092
_cell_length_c 3.7593
_cell_angle_alpha 90.00
_cell_angle_beta 90.00
_cell_angle_gamma 90.00
_symmetry_space_group_name_H-M 'P 4/m m m'
_symmetry_Int_Tables_number 123
_symmetry_space_group_name_Hall '-P 4 2'
loop_
_atom_site_label
_atom_site_type_symbol
_atom_site_fract_x
_atom_site_fract_y
_atom_site_fract_z
K1 K 0.0000 0.0000 0.0000
Os1 Os 0.5000 0.5000 0.5000
N1 N 0.5000 0.5000 0.0000
F1 F 0.0000 0.5000 0.5000
```

(3)
Density functional theory data (PBE) for KPdN2F after structural relaxation.

The value obtained for the energy relative to the elements, uncorrected is 1737 meV/atom. The energy above the most stable polymorph in this dataset is 1457.8 meV/atom. The energy comes out at -3.23 eV per atom. The density comes out at 2.48 Mg/m³.

CIF file:
```
data_KPdN2F
_chemical_formula_sum 'K1 Pd1 N2 F1'
_cell_length_a 5.2445
_cell_length_b 5.2445
_cell_length_c 4.6908
_cell_angle_alpha 90.00
_cell_angle_beta 90.00
_cell_angle_gamma 90.00
_symmetry_space_group_name_H-M 'P 4/m m m'
_symmetry_Int_Tables_number 123
_symmetry_space_group_name_Hall '-P 4 2'
loop_
_atom_site_label
_atom_site_type_symbol
_atom_site_fract_x
_atom_site_fract_y
_atom_site_fract_z
K1 K 0.0000 0.0000 0.0000
Pd1 Pd 0.5000 0.5000 0.5000
N1 N 0.0000 0.5000 0.0000
F1 F 0.0000 0.0000 0.5000
```

(4)
Density functional theory data (PBE) for KPdN2F after structural relaxation.

The value obtained for the energy relative to the elements, uncorrected is 279 meV/atom. The energy above the most stable polymorph in this dataset is 0.0 meV/atom. The energy comes out at -4.68 eV per atom. The density comes out at 3.58 Mg/m³.

CIF file:
```
data_KPdN2F
_chemical_formula_sum 'K1 Pd1 N2 F1'
_cell_length_a 3.8037
_cell_length_b 3.8037
_cell_length_c 6.1798
_cell_angle_alpha 90.00
_cell_angle_beta 90.00
_cell_angle_gamma 90.00
_symmetry_space_group_name_H-M 'P 4/m m m'
_symmetry_Int_Tables_number 123
_symmetry_space_group_name_Hall '-P 4 2'
loop_
_atom_site_label
_atom_site_type_symbol
_atom_site_fract_x
_atom_site_fract_y
_atom_site_fract_z
K1 K 0.0000 0.0000 0.0000
Pd1 Pd 0.5000 0.5000 0.5000
N1 N 0.0000 0.5000 0.5000
F1 F 0.5000 0.5000 0.0000
```

(5)
Density functional theory data (PBE) for KPdNF2 after structural relaxation.

The value obtained for the energy relative to the elements, uncorrected is 465 meV/atom. The energy above the most stable polymorph in this dataset is 1346.3 meV/atom. The energy comes out at -3.21 eV per atom. The density comes out at 2.78 Mg/m³.

CIF file:
```
data_KPdNF2
_chemical_formula_sum 'K1 Pd1 N1 F2'
_cell_length_a 4.8457
_cell_length_b 4.8457
_cell_length_c 5.0308
_cell_angle_alpha 90.00
_cell_angle_beta 90.00
_cell_angle_gamma 90.00
_symmetry_space_group_name_H-M 'P 4/m m m'
_symmetry_Int_Tables_number 123
_symmetry_space_group_name_Hall '-P 4 2'
loop_
_atom_site_label
_atom_site_type_symbol
_atom_site_fract_x
_atom_site_fract_y
_atom_site_fract_z
K1 K 0.0000 0.0000 0.0000
Pd1 Pd 0.5000 0.5000 0.5000
N1 N 0.0000 0.0000 0.5000
F1 F 0.0000 0.5000 0.0000
```

(6)
Density functional theory data (PBE) for KPdNF2 after structural relaxation.

The value obtained for the energy relative to the elements, uncorrected is -881 meV/atom. The energy above the most stable polymorph in this dataset is 0.0 meV/atom. The energy comes out at -4.55 eV per atom. The density comes out at 4.12 Mg/m³.

CIF file:
```
data_KPdNF2
_chemical_formula_sum 'K1 Pd1 N1 F2'
_cell_length_a 4.6526
_cell_length_b 4.6526
_cell_length_c 3.6816
_cell_angle_alpha 90.00
_cell_angle_beta 90.00
_cell_angle_gamma 90.00
_symmetry_space_group_name_H-M 'P 4/m m m'
_symmetry_Int_Tables_number 123
_symmetry_space_group_name_Hall '-P 4 2'
loop_
_atom_site_label
_atom_site_type_symbol
_atom_site_fract_x
_atom_site_fract_y
_atom_site_fract_z
K1 K 0.0000 0.0000 0.0000
Pd1 Pd 0.5000 0.5000 0.5000
N1 N 0.5000 0.5000 0.0000
F1 F 0.0000 0.5000 0.5000
```

The lowest energy relative to the elements, uncorrected belongs to which entry? number 2

Which value of energy above the most stable polymorph in this dataset does entry 6 give? 0.0 meV/atom

Which of these has the highest energy above the most stable polymorph in this dataset? number 1

Look up the energy relative to the elements, uncorrected of the sixth one. -881 meV/atom